Entry 1:
Material: CsGePbO4
Method: DFT, PBE
State: optimized geometry

a = 6.052 Å, b = 6.135 Å, c = 8.034 Å
α = 90.00°, β = 107.82°, γ = 90.00°
Space group P2_1/m (No. 11)
Asymmetric unit:
1 Cs 0.201 0.250 0.440 x2
2 Ge 0.240 0.750 0.145 x2
3 Pb 0.288 0.250 0.965 x2
4 O 0.034 0.750 0.934 x2
5 O 0.069 0.750 0.290 x2
6 O 0.443 0.527 0.169 x4

Computed properties:
Total moment = 0.00 μB/f.u.
E_tot = -5.5459 eV/atom
Crystal system = monoclinic
D(E_F) = 3.4 states/eV/f.u.


Entry 2:
Material: Cs2GePdO4
Method: DFT, PBE
State: optimized geometry

a = 5.807 Å, b = 13.766 Å, c = 20.443 Å
α = 90.00°, β = 90.00°, γ = 90.00°
Space group Fddd (No. 70, origin choice 2)
Asymmetric unit:
1 Cs 0.125 0.125 0.298 x16
2 Ge 0.125 0.125 0.625 x8
3 Pd 0.125 0.125 0.125 x8
4 O 0.099 0.284 0.860 x32

Computed properties:
Total moment = 0.00 μB/f.u.
E_tot = -5.1493 eV/atom
Crystal system = orthorhombic
D(E_F) = 0.0 states/eV/f.u.


Entry 3:
Material: Cs3Pm3GeO8
Method: DFT, PBE
State: optimized geometry

a = 7.0292 Å, b = 7.0292 Å, c = 20.9565 Å
α = 90.00°, β = 90.00°, γ = 120.00°
Space group R-3m (No. 166, hexagonal axes)
Asymmetric unit:
1 Cs 0.0000 0.5000 0.0000 x9
2 Pm 0.0000 0.5000 0.5000 x9
3 Ge 0.0000 0.0000 0.5000 x3
4 O 0.0000 0.0000 0.2213 x6
5 O 0.0461 0.5231 0.2175 x18

Computed properties:
Total moment = 0.00 μB/f.u.
E_tot = -6.3688 eV/atom
Crystal system = trigonal


Entry 4:
Material: Cs4Pr3GeO8
Method: DFT, PBE
State: optimized geometry

a = 7.3154 Å, b = 7.3154 Å, c = 20.7899 Å
α = 90.00°, β = 90.00°, γ = 120.00°
Space group R-3m (No. 166, hexagonal axes)
Asymmetric unit:
1 Cs 0.0000 0.0000 0.0000 x3
2 Cs 0.0000 0.5000 0.0000 x9
3 Pr 0.0000 0.5000 0.5000 x9
4 Ge 0.0000 0.0000 0.5000 x3
5 O 0.0000 0.0000 0.2240 x6
6 O 0.0175 0.5088 0.2225 x18

Computed properties:
Total moment = 0.00 μB/f.u.
E_tot = -5.9399 eV/atom
Crystal system = trigonal
D(E_F) = 2.3 states/eV/f.u.